# Ca3HPb | the Alexandria database | GGA-PBE | optimized geometry
data_Ca3HPb
_chemical_formula_sum 'Ca3 H1 Pb1'
_symmetry_space_group_name_H-M 'P 1'
_symmetry_Int_Tables_number 1
_cell_length_a 5.000
_cell_length_b 5.000
_cell_length_c 5.000
_cell_angle_alpha 90.00
_cell_angle_beta 90.00
_cell_angle_gamma 90.00
loop_
_symmetry_equiv_pos_as_xyz
'x,y,z'
loop_
_atom_site_label
_atom_site_type_symbol
_atom_site_fract_x
_atom_site_fract_y
_atom_site_fract_z
_atom_site_occupancy
Ca1 Ca 0.000 0.000 0.500 1
Ca2 Ca 0.500 0.000 0.000 1
Ca3 Ca 0.000 0.500 0.000 1
H1 H 0.000 0.000 0.000 1
Pb1 Pb 0.500 0.500 0.500 1
# - SG: Pm-3m (221)



# Tb2TiP3Ir4 | the Alexandria database | GGA-PBE | optimized geometry
data_Tb2TiP3Ir4
_chemical_formula_sum 'Tb2 Ti1 P3 Ir4'
_symmetry_space_group_name_H-M 'P 1'
_symmetry_Int_Tables_number 1
_cell_length_a 4.002
_cell_length_b 4.002
_cell_length_c 10.467
_cell_angle_alpha 90.00
_cell_angle_beta 90.00
_cell_angle_gamma 90.00
loop_
_symmetry_equiv_pos_as_xyz
'x,y,z'
loop_
_atom_site_label
_atom_site_type_symbol
_atom_site_fract_x
_atom_site_fract_y
_atom_site_fract_z
_atom_site_occupancy
Ir1 Ir 0.000 0.500 0.358 1
Ir2 Ir 0.000 0.000 0.000 1
Ir3 Ir 0.500 0.000 0.642 1
Ir4 Ir 0.500 0.500 0.000 1
Ti1 Ti 0.500 0.500 0.500 1
P1 P 0.500 0.000 0.865 1
P2 P 0.000 0.000 0.500 1
P3 P 0.000 0.500 0.135 1
Tb1 Tb 0.000 0.500 0.765 1
Tb2 Tb 0.500 0.000 0.235 1
# - SG: P-4m2 (115)
# - DFT formation energy: -971 kJ/mol of formula units



# Th2GaOs | the Alexandria database | GGA-PBE | optimized geometry
data_Th2GaOs
_chemical_formula_sum 'Th2 Ga1 Os1'
_symmetry_space_group_name_H-M 'P 1'
_symmetry_Int_Tables_number 1
_cell_length_a 4.092
_cell_length_b 4.092
_cell_length_c 7.976
_cell_angle_alpha 75.14
_cell_angle_beta 75.14
_cell_angle_gamma 60.00
loop_
_symmetry_equiv_pos_as_xyz
'x,y,z'
loop_
_atom_site_label
_atom_site_type_symbol
_atom_site_fract_x
_atom_site_fract_y
_atom_site_fract_z
_atom_site_occupancy
Os1 Os 0.000 0.000 0.000 1
Ga1 Ga 0.500 0.500 0.500 1
Th1 Th 0.264 0.264 0.208 1
Th2 Th 0.736 0.736 0.792 1
# - SG: R-3m (166)
# - DFT formation energy: -102 kJ/mol of formula units



# Sm2B3N2 | the Alexandria database | GGA-PBE | optimized geometry
data_Sm2B3N2
_chemical_formula_sum 'Sm2 B3 N2'
_symmetry_space_group_name_H-M 'P 1'
_symmetry_Int_Tables_number 1
_cell_length_a 3.354
_cell_length_b 3.880
_cell_length_c 6.795
_cell_angle_alpha 90.00
_cell_angle_beta 104.47
_cell_angle_gamma 90.00
loop_
_symmetry_equiv_pos_as_xyz
'x,y,z'
loop_
_atom_site_label
_atom_site_type_symbol
_atom_site_fract_x
_atom_site_fract_y
_atom_site_fract_z
_atom_site_occupancy
N1 N 0.898 0.000 0.791 1
N2 N 0.102 0.000 0.209 1
B1 B 0.217 0.000 0.438 1
B2 B 0.783 0.000 0.562 1
B3 B 0.000 0.000 0.000 1
Sm1 Sm 0.633 0.500 0.271 1
Sm2 Sm 0.367 0.500 0.729 1
# - SG: P2/m (10)
# - Energy relative to the elements, uncorrected: -0.807 eV/atom



no.,Fermi-level density of states (states/eV per cell),raw total energy (eV/atom)
1,2.8,-3.042
2,6.1,-7.889
3,3.9,-7.538
4,1.5,-7.396